{
  "formula": "VCdClO3",
  "functional": "PBE+U",
  "state": "optimized geometry",
  "cell": [[16.216, 0.000, 0.000], [0.000, 3.705, 0.000], [0.000, 0.000, 6.987]],
  "species": ["V", "V", "V", "V", "Cd", "Cd", "Cd", "Cd", "Cl", "Cl", "Cl", "Cl", "O", "O", "O", "O", "O", "O", "O", "O", "O", "O", "O", "O"],
  "fractional_positions": [[0.005, 0.250, 0.181], [0.495, 0.750, 0.681], [0.505, 0.250, 0.319], [0.995, 0.750, 0.819], [0.168, 0.750, 0.426], [0.332, 0.250, 0.926], [0.668, 0.750, 0.074], [0.832, 0.250, 0.574], [0.235, 0.750, 0.065], [0.265, 0.250, 0.565], [0.735, 0.750, 0.435], [0.765, 0.250, 0.935], [0.010, 0.750, 0.104], [0.076, 0.750, 0.676], [0.095, 0.250, 0.314], [0.405, 0.750, 0.814], [0.424, 0.250, 0.176], [0.490, 0.250, 0.604], [0.510, 0.750, 0.396], [0.576, 0.750, 0.824], [0.595, 0.250, 0.186], [0.905, 0.750, 0.686], [0.924, 0.250, 0.324], [0.990, 0.250, 0.896]],
  "spacegroup": "No. 62",
  "e_tot_ev_per_atom": -5.736
}